1.
This record from Alexandria via LeMat-Bulk describes a relaxed structure of CuTe3As. The functional is PBE.

a b c (Å): 7.4450 4.4979 10.9269
angles (deg): 90.00 105.40 90.00
Closest atoms and distances in Å follow each position.
Fractional positions:
Cu: 0.0856 0.2500 0.1596  5 Te 2.55-2.71
Cu: 0.9144 0.7500 0.8404  5 Te 2.55-2.71
Te: 0.0886 0.7500 0.6518  1 As 2.64, 1 Cu 2.71
Te: 0.1560 0.7500 0.0623  3 Cu 2.60-2.61
Te: 0.3964 0.2500 0.3286  1 Cu 2.55, 1 As 2.71
Te: 0.6036 0.7500 0.6714  1 Cu 2.55, 1 As 2.71
Te: 0.8440 0.2500 0.9377  3 Cu 2.60-2.61
Te: 0.9114 0.2500 0.3482  1 As 2.64, 1 Cu 2.71
As: 0.2341 0.2500 0.5229  2 Te 2.64-2.71
As: 0.7659 0.7500 0.4771  2 Te 2.64-2.71

Computed properties:
final energy	-3.517	eV per atom
space-group type	P2_1/m, No. 11
spin magnetization	0.00	μB/cell
density	4.9	g cm⁻³
offset from the most stable computed form	0.102	eV per atom

2.
This record from Alexandria via LeMat-Bulk describes a relaxed structure of CuTeAs4. The functional is PBE.

a b c (Å): 5.6685 5.6685 5.6685
angles (deg): 60.00 60.00 60.00
Closest atoms and distances in Å follow each position.
Fractional positions:
Cu: 0.0000 0.0000 0.0000  12 As 3.31, 4 Te 3.47
Te: 0.7500 0.7500 0.7500  12 As 3.34, 4 Cu 3.47
As: 0.3670 0.3670 0.3670  3 As 2.65
As: 0.3670 0.3670 0.8991  3 As 2.65
As: 0.3670 0.8991 0.3670  3 As 2.65
As: 0.8991 0.3670 0.3670  3 As 2.65

Computed properties:
final energy	-3.713	eV per atom
space-group type	F-43m, No. 216
spin magnetization	0.00	μB/cell
density	6.3	g cm⁻³

3.
This record from Alexandria via LeMat-Bulk describes a relaxed structure of CuTe4As. The functional is PBE.

a b c (Å): 6.2258 6.2258 6.2258
angles (deg): 60.00 60.00 60.00
Closest atoms and distances in Å follow each position.
Fractional positions:
Cu: 0.0000 0.0000 0.0000  12 Te 3.65, 4 As 3.81
Te: 0.1272 0.6243 0.6243  6 Te 3.09-3.13
Te: 0.6243 0.1272 0.6243  6 Te 3.09-3.13
Te: 0.6243 0.6243 0.1272  6 Te 3.09-3.13
Te: 0.6243 0.6243 0.6243  6 Te 3.09-3.13
As: 0.2500 0.2500 0.2500  12 Te 3.65, 4 Cu 3.81

Computed properties:
final energy	-2.698	eV per atom
space-group type	F-43m, No. 216
spin magnetization	0.00	μB/cell
density	6.3	g cm⁻³

- Look up the spin magnetization of the second one.
  0.00 μB/cell

- Among the records above, which one has the highest final energy?
  CuTe4As

- What is the formula in the second record?
  CuTeAs4